CsRb2TeBr, optimized geometry, DFT PBE; calculated total energy = -2.61 eV per atom; raw formation energy = -1.092 eV per atom
1.0
6.371 0.000 0.000
0.000 6.371 0.000
0.000 0.000 6.674
Cs Te Br Rb
1 1 1 2
Direct
0.000 0.000 0.500
0.500 0.500 0.500
0.000 0.000 0.000
0.000 0.500 0.000
0.500 0.000 0.000

=====

Cs2RbTeBr6, optimized geometry, DFT PBE; calculated total energy = -2.72 eV per atom; raw formation energy = -1.131 eV per atom
1.0
-2.815 3.352 7.226
3.474 -6.380 4.313
5.884 1.902 6.349
Cs Te Br Rb
2 1 6 1
Direct
0.750 0.250 0.500
0.250 0.750 0.500
0.000 0.000 0.000
0.249 0.249 0.501
0.751 0.751 0.499
0.227 0.227 0.000
0.773 0.773 0.000
0.773 0.227 0.000
0.227 0.773 0.000
0.500 0.500 0.000

=====

CsRb2ThBr8, optimized geometry, DFT PBE; calculated total energy = -3.60 eV per atom; raw formation energy = -1.631 eV per atom
1.0
-3.138 -7.073 1.937
5.241 -1.536 2.869
-0.878 3.124 9.870
Cs Rb Th Br
1 2 1 8
Direct
0.000 0.000 0.500
0.502 0.347 0.807
0.498 0.653 0.193
0.000 0.000 0.000
0.007 0.638 0.247
0.738 0.809 0.882
0.744 0.186 0.125
0.993 0.362 0.753
0.262 0.191 0.118
0.256 0.814 0.875
0.500 0.755 0.500
0.500 0.245 0.500

=====

Cs2RbThBr8, optimized geometry, DFT PBE; calculated total energy = -3.56 eV per atom; raw formation energy = -1.600 eV per atom
1.0
8.048 -0.038 -0.011
-0.045 7.312 0.009
-0.003 0.034 10.193
Cs Rb Th Br
2 1 1 8
Direct
0.500 0.498 0.763
0.500 0.502 0.237
0.000 0.000 0.500
0.000 0.000 0.000
0.112 0.763 0.206
0.688 0.812 0.998
0.885 0.235 0.204
0.888 0.237 0.794
0.312 0.188 0.002
0.115 0.765 0.796
0.589 0.831 0.500
0.411 0.169 0.500

=====

CsRbTi2Br8, optimized geometry, DFT PBE; calculated total energy = -3.94 eV per atom; raw formation energy = -1.362 eV per atom
1.0
-5.902 -4.550 -0.885
0.655 -7.328 1.484
-4.571 -2.216 10.055
Cs Rb Ti Br
1 1 2 8
Direct
0.500 0.500 0.500
0.000 0.000 0.000
0.243 0.243 0.271
0.757 0.757 0.729
0.165 0.165 0.504
0.541 0.328 0.195
0.835 0.835 0.496
0.936 0.541 0.195
0.064 0.459 0.805
0.328 0.936 0.195
0.672 0.064 0.805
0.459 0.672 0.805

=====

Cs2RbTl3Br6, optimized geometry, DFT PBE; calculated total energy = -2.96 eV per atom; raw formation energy = -1.311 eV per atom
1.0
-4.160 0.122 2.702
-5.369 -1.204 -8.214
3.852 -10.207 1.836
Cs Rb Tl Br
2 1 3 6
Direct
0.834 0.672 0.668
0.166 0.328 0.332
0.500 0.000 0.000
0.500 0.500 0.000
0.835 0.169 0.671
0.165 0.831 0.329
0.334 0.937 0.668
0.661 0.592 0.323
0.666 0.063 0.332
0.994 0.250 0.988
0.006 0.750 0.012
0.339 0.408 0.677

=====

Question: Which of these has the highest raw formation energy?
Answer: CsRb2TeBr

=====

Question: What is the formula in the second record?
Answer: Cs2RbTeBr6

=====

Question: The highest calculated total energy belongs to which entry?
Answer: CsRb2TeBr